# Mg5AgRh4

A geometry-optimized Mg5AgRh4 structure (PBE-GGA, Alexandria).

## Properties
Crystal system ... tetragonal
Formation enthalpy at 0 K ... -0.45 eV per atom
DOS(E_F) ... 6.133 states/eV per cell
Calculated volume ... 157.8 Å³ per cell
Final energy ... -4.471 eV per atom

Cell lengths 3.175, 3.175, 15.659 Å; angles 90.00, 90.00, 90.00 degrees
Fractional positions:
Mg1 0.000 0.000 0.000
Mg2 0.000 0.000 0.194
Mg3 0.000 0.000 0.384
Mg4 0.000 0.000 0.616
Mg5 0.000 0.000 0.806
Ag1 0.500 0.500 0.500
Rh1 0.500 0.500 0.097
Rh2 0.500 0.500 0.295
Rh3 0.500 0.500 0.705
Rh4 0.500 0.500 0.903



# SiHgAs2Se

A geometry-optimized SiHgAs2Se structure (PBE-GGA, Alexandria).

## Properties
Crystal system ... tetragonal
E_form (uncorrected) ... 6.10 eV per formula unit
DOS(E_F) ... 4.639 states/eV per cell
Calculated volume ... 139.6 Å³ per cell
Final energy ... -2.481 eV per atom
Relative energy among the computed polymorphs ... 699 meV per atom

Cell lengths 5.137, 5.137, 5.292 Å; angles 90.00, 90.00, 90.00 degrees
Fractional positions:
Si1 0.000 0.000 0.000
Hg1 0.500 0.500 0.500
As1 0.000 0.500 0.500
As2 0.500 0.000 0.500
Se1 0.500 0.500 0.000



# Na3ZnCl4

A geometry-optimized Na3ZnCl4 structure (PBE-GGA, Alexandria).

## Properties
Crystal system ... tetragonal
E_form (uncorrected) ... -10.63 eV per formula unit
DOS(E_F) ... 5.675 states/eV per cell
Calculated volume ... 486.5 Å³ per cell
Final energy ... -2.906 eV per atom

Cell lengths 6.241, 6.241, 12.490 Å; angles 90.00, 90.00, 90.00 degrees
Fractional positions:
Na1 0.000 0.000 0.000
Na2 0.000 0.500 0.250
Na3 0.000 0.500 0.750
Na4 0.500 0.000 0.250
Na5 0.500 0.000 0.750
Na6 0.500 0.500 0.500
Zn1 0.000 0.000 0.500
Zn2 0.500 0.500 0.000
Cl1 0.247 0.247 0.376
Cl2 0.247 0.753 0.624
Cl3 0.253 0.253 0.876
Cl4 0.253 0.747 0.124
Cl5 0.747 0.253 0.124
Cl6 0.747 0.747 0.876
Cl7 0.753 0.247 0.624
Cl8 0.753 0.753 0.376



# AcMg2

A geometry-optimized AcMg2 structure (PBE-GGA, Alexandria).

## Properties
Crystal system ... cubic
Formation enthalpy at 0 K ... -0.12 eV per atom
DOS(E_F) ... 4.316 states/eV per cell
Calculated volume ... 182.3 Å³ per cell
Final energy ... -2.554 eV per atom
Relative energy among the computed polymorphs ... 0 meV per atom

Cell lengths 6.364, 6.364, 6.364 Å; angles 60.00, 60.00, 60.00 degrees
Fractional positions:
Ac1 0.125 0.125 0.125
Ac2 0.875 0.875 0.875
Mg1 0.000 0.500 0.500
Mg2 0.500 0.000 0.500
Mg3 0.500 0.500 0.000
Mg4 0.500 0.500 0.500



# KPdO2

A geometry-optimized KPdO2 structure (PBE-GGA, Alexandria).

## Properties
Crystal system ... tetragonal
E_form (uncorrected) ... -2.35 eV per formula unit
DOS(E_F) ... 5.594 states/eV per cell
Calculated volume ... 300.4 Å³ per cell
Final energy ... -4.640 eV per atom

Cell lengths 5.312, 5.312, 10.645 Å; angles 90.00, 90.00, 90.00 degrees
Fractional positions:
K1 0.000 0.000 0.000
K2 0.000 0.500 0.250
K3 0.500 0.000 0.750
K4 0.500 0.500 0.500
Pd1 0.000 0.000 0.500
Pd2 0.000 0.500 0.750
Pd3 0.500 0.000 0.250
Pd4 0.500 0.500 0.000
O1 0.136 0.250 0.625
O2 0.250 0.636 0.875
O3 0.250 0.864 0.375
O4 0.364 0.250 0.125
O5 0.636 0.750 0.125
O6 0.750 0.136 0.375
O7 0.750 0.364 0.875
O8 0.864 0.750 0.625



# Pa2GaTc3

A geometry-optimized Pa2GaTc3 structure (PBE-GGA, Alexandria).

## Properties
Crystal system ... hexagonal
Formation enthalpy at 0 K ... -0.29 eV per atom
DOS(E_F) ... 17.791 states/eV per cell
Calculated volume ... 220.0 Å³ per cell
Final energy ... -9.138 eV per atom
Relative energy among the computed polymorphs ... 0 meV per atom

Cell lengths 5.455, 5.455, 8.535 Å; angles 90.00, 90.00, 120.00 degrees
Fractional positions:
Pa1 0.333 0.667 0.083
Pa2 0.333 0.667 0.417
Pa3 0.667 0.333 0.583
Pa4 0.667 0.333 0.917
Ga1 0.000 0.000 0.000
Ga2 0.000 0.000 0.500
Tc1 0.173 0.346 0.750
Tc2 0.173 0.827 0.750
Tc3 0.346 0.173 0.250
Tc4 0.654 0.827 0.750
Tc5 0.827 0.173 0.250
Tc6 0.827 0.654 0.250



# Si2SbRh

A geometry-optimized Si2SbRh structure (PBE-GGA, Alexandria).

## Properties
Crystal system ... monoclinic
E_form (uncorrected) ... 0.67 eV per formula unit
DOS(E_F) ... 4.921 states/eV per cell
Calculated volume ... 140.7 Å³ per cell
Final energy ... -5.412 eV per atom

Cell lengths 5.274, 9.821, 3.775 Å; angles 90.00, 133.97, 90.00 degrees
Fractional positions:
Si1 0.250 0.250 0.000
Si2 0.250 0.750 0.000
Si3 0.750 0.250 0.000
Si4 0.750 0.750 0.000
Sb1 0.000 0.000 0.500
Sb2 0.500 0.500 0.500
Rh1 0.000 0.500 0.500
Rh2 0.500 0.000 0.500



# Sr2CaMg3

A geometry-optimized Sr2CaMg3 structure (PBE-GGA, Alexandria).

## Properties
Crystal system ... tetragonal
Formation enthalpy at 0 K ... -0.06 eV per atom
DOS(E_F) ... 5.709 states/eV per cell
Calculated volume ... 208.1 Å³ per cell
Final energy ... -1.754 eV per atom

Cell lengths 4.132, 4.132, 12.188 Å; angles 90.00, 90.00, 90.00 degrees
Fractional positions:
Sr1 0.000 0.000 0.174
Sr2 0.000 0.000 0.826
Ca1 0.000 0.000 0.500
Mg1 0.500 0.500 0.000
Mg2 0.500 0.500 0.351
Mg3 0.500 0.500 0.649